Record 1
A relaxed structure of NbFeSb2I, computed with GGA-PBEsol.

Output
raw formation energy: 904 meV/atom
symmetry: P4/mmm

a b c (Å): 4.752 4.752 5.314
angles (deg): 90.00 90.00 90.00
Element x y z (fractional)
1 Nb 0.000 0.000 0.000
2 Fe 0.500 0.500 0.500
3 Sb 0.000 0.500 0.500
4 Sb 0.500 0.000 0.500
5 I 0.500 0.500 0.000

Record 2
A relaxed structure of CdGaReTc2, computed with GGA-PBEsol.

Output
symmetry: P4/mmm

a b c (Å): 4.670 4.670 4.736
angles (deg): 90.00 90.00 90.00
Element x y z (fractional)
1 Cd 0.000 0.000 0.000
2 Ga 0.500 0.500 0.000
3 Re 0.500 0.500 0.500
4 Tc 0.000 0.500 0.500
5 Tc 0.500 0.000 0.500

Record 3
A relaxed structure of YZn2GaS, computed with GGA-PBEsol.

Output
raw formation energy: 1050 meV/atom
symmetry: P4/mmm

a b c (Å): 5.333 5.333 5.527
angles (deg): 90.00 90.00 90.00
Element x y z (fractional)
1 Y 0.000 0.000 0.000
2 Zn 0.000 0.500 0.000
3 Zn 0.500 0.000 0.000
4 Ga 0.000 0.000 0.500
5 S 0.500 0.500 0.500

no.,electronic total energy (eV per atom)
1,-5.23
2,-6.72
3,-2.49